Entry 1:
This record from Alexandria describes NaMnTe2I after structural relaxation. The functional is PBE.

Results
Space group: P4/mmm (123)
Total magnetization: 0.00 Bohr magnetons per cell
Formation energy without anion corrections: -0.009 eV/atom

Lattice parameters (Å, degrees): 4.9584 4.9584 6.2119 90.00 90.00 90.00
Last column: nearest neighbours and their distance in Å.
Atoms (fractional coordinates):
Na 0.0000 0.0000 0.0000  4 I 3.51
Mn 0.5000 0.5000 0.5000  4 Te 2.48
Te 0.0000 0.5000 0.5000  2 Mn 2.48
Te 0.5000 0.0000 0.5000  2 Mn 2.48
I 0.5000 0.5000 0.0000  2 Mn 3.11



Entry 2:
This record from Alexandria describes Na2MnTl3I6 after structural relaxation. The functional is PBE.

Results
Space group: C2/m (12)
Total magnetization: 4.21 Bohr magnetons per cell
Formation energy without anion corrections: -0.656 eV/atom

Lattice parameters (Å, degrees): 7.7663 7.7663 8.9550 98.19 98.19 120.04
Last column: nearest neighbours and their distance in Å.
Atoms (fractional coordinates):
Na 0.1612 0.8388 0.0000  6 I 3.17-3.24
Na 0.8388 0.1612 0.0000  6 I 3.17-3.24
Mn 0.5000 0.5000 0.0000  6 I 2.90-3.01
Tl 0.0000 0.0000 0.5000  6 I 3.61-3.70
Tl 0.3110 0.6890 0.5000  6 I 3.63-3.68
Tl 0.6890 0.3110 0.5000  6 I 3.63-3.68
I 0.1301 0.4346 0.8047  1 Mn 2.90, 2 Na 3.17-3.24
I 0.2668 0.2668 0.2176  1 Mn 3.01, 2 Na 3.24
I 0.4346 0.1301 0.8047  1 Mn 2.90, 2 Na 3.17-3.24
I 0.5654 0.8699 0.1953  1 Mn 2.90, 2 Na 3.17-3.24
I 0.7332 0.7332 0.7824  1 Mn 3.01, 2 Na 3.24
I 0.8699 0.5654 0.1953  1 Mn 2.90, 2 Na 3.17-3.24



Entry 3:
This record from Alexandria describes NaMnTlI6 after structural relaxation. The functional is PBE.

Results
Space group: P312 (149)
Total magnetization: 3.01 Bohr magnetons per cell
Formation energy without anion corrections: -0.506 eV/atom

Lattice parameters (Å, degrees): 7.7571 7.7571 7.1997 90.00 90.00 120.00
Last column: nearest neighbours and their distance in Å.
Atoms (fractional coordinates):
Na 0.0000 0.0000 0.0000  6 I 3.17
Mn 0.6667 0.3333 0.0000  6 I 2.71
Tl 0.3333 0.6667 0.5000  6 I 3.50
I 0.3775 0.0558 0.7792  1 Mn 2.71
I 0.3775 0.3217 0.2208  1 Mn 2.71
I 0.6783 0.0558 0.2208  1 Mn 2.71
I 0.6783 0.6225 0.7792  1 Mn 2.71
I 0.9442 0.3217 0.7792  1 Mn 2.71
I 0.9442 0.6225 0.2208  1 Mn 2.71



Entry 4:
This record from Alexandria describes NaMnTlI4 after structural relaxation. The functional is PBE.

Results
Space group: I-4 (82)
Total magnetization: 5.00 Bohr magnetons per cell
Formation energy without anion corrections: -0.707 eV/atom

Lattice parameters (Å, degrees): 8.2347 8.2347 8.2347 123.15 123.15 84.62
Last column: nearest neighbours and their distance in Å.
Atoms (fractional coordinates):
Na 0.0000 0.0000 0.0000  4 I 3.10
Mn 0.7500 0.2500 0.5000  4 I 2.70
Tl 0.5000 0.5000 0.0000  4 I 3.44
I 0.0543 0.5898 0.9191  1 Mn 2.70
I 0.4102 0.3293 0.4645  1 Mn 2.70
I 0.6707 0.1352 0.0809  1 Mn 2.70
I 0.8648 0.9457 0.5355  1 Mn 2.70



Entry 5:
This record from Alexandria describes NaMn2TlI6 after structural relaxation. The functional is PBE.

Results
Space group: C2/c (15)
Total magnetization: 20.00 Bohr magnetons per cell
Formation energy without anion corrections: -0.625 eV/atom

Lattice parameters (Å, degrees): 10.5763 10.5763 7.9063 97.52 97.52 87.92
Last column: nearest neighbours and their distance in Å.
Atoms (fractional coordinates):
Na 0.2197 0.7803 0.7500  6 I 3.15-3.41
Na 0.7803 0.2197 0.2500  6 I 3.15-3.41
Mn 0.1145 0.2788 0.7855  4 I 2.66-2.77
Mn 0.2788 0.1145 0.2855  4 I 2.66-2.77
Mn 0.7212 0.8855 0.7145  4 I 2.66-2.77
Mn 0.8855 0.7212 0.2145  4 I 2.66-2.77
Tl 0.4016 0.5984 0.2500  6 I 3.46-3.58
Tl 0.5984 0.4016 0.7500  6 I 3.46-3.58
I 0.0687 0.2139 0.0997  2 Mn 2.75-2.77
I 0.1030 0.6473 0.3853  1 Mn 2.66
I 0.2139 0.0687 0.5997  2 Mn 2.75-2.77
I 0.2768 0.4733 0.8329  1 Mn 2.68
I 0.3527 0.8970 0.1147  1 Mn 2.66
I 0.4733 0.2768 0.3329  1 Mn 2.68
I 0.5267 0.7232 0.6671  1 Mn 2.68
I 0.6473 0.1030 0.8853  1 Mn 2.66
I 0.7232 0.5267 0.1671  1 Mn 2.68
I 0.7861 0.9313 0.4003  2 Mn 2.75-2.77
I 0.8970 0.3527 0.6147  1 Mn 2.66
I 0.9313 0.7861 0.9003  2 Mn 2.75-2.77



Entry 6:
This record from Alexandria describes Na3MnTl3I8 after structural relaxation. The functional is PBE.

Results
Space group: R-3m (166)
Total magnetization: 4.99 Bohr magnetons per cell
Formation energy without anion corrections: -0.842 eV/atom

Lattice parameters (Å, degrees): 9.7767 9.7767 9.7767 56.94 56.94 56.94
Last column: nearest neighbours and their distance in Å.
Atoms (fractional coordinates):
Na 0.0000 0.5000 0.5000  6 I 3.24-3.28
Na 0.5000 0.0000 0.5000  6 I 3.24-3.28
Na 0.5000 0.5000 0.0000  6 I 3.24-3.28
Mn 0.0000 0.0000 0.0000  6 I 2.96
Tl 0.0000 0.0000 0.5000  6 I 3.52-3.53
Tl 0.0000 0.5000 0.0000  6 I 3.52-3.53
Tl 0.5000 0.0000 0.0000  6 I 3.52-3.53
I 0.2192 0.2192 0.7661  1 Mn 2.96, 2 Na 3.28
I 0.2192 0.7661 0.2192  1 Mn 2.96, 2 Na 3.28
I 0.2339 0.7808 0.7808  1 Mn 2.96, 2 Na 3.28
I 0.2595 0.2595 0.2595  3 Na 3.24, 3 Tl 3.52
I 0.7405 0.7405 0.7405  3 Na 3.24, 3 Tl 3.52
I 0.7661 0.2192 0.2192  1 Mn 2.96, 2 Na 3.28
I 0.7808 0.2339 0.7808  1 Mn 2.96, 2 Na 3.28
I 0.7808 0.7808 0.2339  1 Mn 2.96, 2 Na 3.28